Below is crystalline CaNbTeSe at its relaxed geometry, with properties calculated at the PBE level.

**Energy relative to the elements, uncorrected**: -0.600 eV/atom
**Electronic total energy**: -5.27 eV/atom
**D(E_F)**: 3.88 states/eV/f.u.

a = 4.9865 Å, b = 4.9865 Å, c = 4.9865 Å
α = 60.00°, β = 60.00°, γ = 60.00°
Last column: magnetic moment on the atom in μB.
Element x y z (fractional)
Te (0.2500, 0.2500, 0.2500)  -0.03
Se (0.7500, 0.7500, 0.7500)  -0.02
Ca (0.0000, 0.0000, 0.0000)  0.01
Nb (0.5000, 0.5000, 0.5000)  0.78